[1]
A relaxed structure of Cd2SiRh, computed with PBE.

Values from the calculation:
Formation energy (no corrections) in meV/atom: 53
Space group: I-4m2 (119)

```
Cd2SiRh
1.0
5.0177 -0.0032 0.0000
1.6743 4.7301 0.0000
-3.3460 -2.3635 2.8975
Rh Cd Si
1 2 1
Direct
0.5000 0.5000 0.0000
0.0000 0.0000 0.0000
0.2500 0.7500 0.5000
0.7500 0.2500 0.5000
```

[2]
A relaxed structure of HoTm2InRh4, computed with PBE.

Values from the calculation:
Space group: R-3m (166)
Energy relative to the elements in eV per atom: -0.866

```
HoTm2InRh4
1.0
4.7391 0.0000 0.0000
2.3695 4.1042 0.0000
2.3695 1.3681 7.6999
In Rh Ho Tm
1 4 1 2
Direct
0.5000 0.5000 0.5000
0.6244 0.6244 0.1269
0.3756 0.3756 0.8731
0.1239 0.1239 0.6282
0.8761 0.8761 0.3718
0.0000 0.0000 0.0000
0.2454 0.2454 0.2638
0.7546 0.7546 0.7362
```

[3]
A relaxed structure of K4NdY3Te8, computed with PBE.

Values from the calculation:
Formation energy (no corrections) in meV/atom: -1412
Space group: R-3m (166)

```
K4NdY3Te8
1.0
-1.6684 2.6522 -8.5010
-9.4769 0.9806 2.1659
5.9662 4.5522 5.0773
Te K Y Nd
8 4 3 1
Direct
0.7360 0.7078 0.4720
0.2693 0.2890 0.0291
0.7307 0.7110 0.9709
0.7597 0.2890 0.0291
0.2403 0.7110 0.9709
0.7598 0.2891 0.5195
0.2402 0.7109 0.4805
0.2640 0.2922 0.5280
0.0000 0.0000 0.5000
0.0000 0.0000 0.0000
0.5000 0.0000 0.5000
0.5000 0.0000 0.0000
0.5000 0.5000 0.5000
0.0000 0.5000 0.5000
0.5000 0.5000 0.0000
0.0000 0.5000 0.0000
```

[4]
A relaxed structure of CdAgBr3, computed with PBE.

Values from the calculation:
Formation energy (no corrections) in meV/atom: -630
Space group: P2_1/m (11)
ΔE to the lowest computed polymorph in kcal/mol of atoms: 0.00

```
CdAgBr3
1.0
4.1913 0.0000 0.0000
0.0000 7.5329 -0.6695
0.0000 0.2227 9.9105
Br Cd Ag
6 2 2
Direct
0.2500 0.2211 0.0067
0.7500 0.7789 0.9933
0.2500 0.5985 0.6616
0.2500 0.9656 0.3267
0.7500 0.0344 0.6733
0.7500 0.4015 0.3384
0.7500 0.0876 0.1672
0.2500 0.9124 0.8328
0.7500 0.3739 0.6365
0.2500 0.6261 0.3635
```

[5]
A relaxed structure of Np2InOs, computed with PBE.

Values from the calculation:
Space group: P4/mmm (123)
Energy relative to the elements in eV per atom: 0.251

```
Np2InOs
1.0
3.7619 0.0000 0.0000
0.0000 3.7619 0.0000
0.0000 0.0000 6.1751
Np In Os
2 1 1
Direct
0.0000 0.0000 0.2118
0.0000 0.0000 0.7882
0.5000 0.5000 0.5000
0.5000 0.5000 0.0000
```

[6]
A relaxed structure of PmAlCdCu, computed with PBE.

Values from the calculation:
Space group: F-43m (216)
Energy relative to the elements in eV per atom: -0.220

```
PmAlCdCu
1.0
-0.3571 0.0121 -4.8528
-4.3483 -0.5207 -2.1208
-2.0631 3.7723 -2.2783
Pm Al Cu Cd
1 1 1 1
Direct
0.5000 0.5000 0.5000
0.0000 0.0000 0.0000
0.7500 0.7500 0.7500
0.2500 0.2500 0.2500
```

[7]
A relaxed structure of CaSmEr, computed with PBE.

Values from the calculation:
Space group: I4mm (107)
ΔE to the lowest computed polymorph in kcal/mol of atoms: 0.00
Energy relative to the elements in eV per atom: 0.060

```
CaSmEr
1.0
3.6507 0.0000 0.0000
0.0000 3.6507 0.0000
-1.8253 -1.8253 7.8050
Er Ca Sm
1 1 1
Direct
0.3247 0.3247 0.6494
0.9984 0.9984 0.9969
0.6769 0.6769 0.3537
```

[8]
A relaxed structure of La3PrTh3, computed with PBE.

Values from the calculation:
Space group: P6_3/m (176)
Energy relative to the elements in eV per atom: 0.081

```
La3PrTh3
1.0
6.0416 0.0000 0.0000
0.0000 8.3891 -4.8435
0.0000 0.0000 9.6869
La Th Pr
6 6 2
Direct
0.7500 0.0444 0.2467
0.2500 0.2467 0.2024
0.2500 0.9556 0.7533
0.7500 0.2024 0.9556
0.2500 0.7976 0.0444
0.7500 0.7533 0.7976
0.7500 0.4922 0.3883
0.2500 0.3883 0.8961
0.7500 0.6117 0.1039
0.7500 0.8961 0.5078
0.2500 0.1039 0.4922
0.2500 0.5078 0.6117
0.2500 0.6667 0.3333
0.7500 0.3333 0.6667
```

Number 1: final energy -3.598 eV per atom. Number 2: final energy -6.574 eV per atom. Number 3: final energy -4.767 eV per atom. Number 4: final energy -2.387 eV per atom. Number 5: final energy -9.711 eV per atom. Number 6: final energy -3.596 eV per atom. Number 7: final energy -3.701 eV per atom. Number 8: final energy -5.894 eV per atom.